{"formula": "Er2MgGe3Ir4", "functional": "PBE-GGA", "state": "relaxed", "e_form_mev_per_atom": -716, "crystal_system": "tetragonal", "dos_ef_per_ev_atom": 0.5043, "lattice": [[4.079, 0.000, 0.000], [0.000, 4.079, 0.000], [0.000, 0.000, 10.945]], "species": ["Er", "Er", "Mg", "Ge", "Ge", "Ge", "Ir", "Ir", "Ir", "Ir"], "frac_coords": [[0.500, 0.000, 0.237], [0.000, 0.500, 0.763], [0.500, 0.500, 0.500], [0.000, 0.000, 0.500], [0.500, 0.000, 0.872], [0.000, 0.500, 0.128], [0.500, 0.500, 0.000], [0.000, 0.000, 0.000], [0.500, 0.000, 0.649], [0.000, 0.500, 0.351]]}



{"formula": "Er2MnGe3Ir4", "functional": "PBE-GGA", "state": "relaxed", "e_form_mev_per_atom": -683, "crystal_system": "tetragonal", "dos_ef_per_ev_atom": 0.5582, "lattice": [[-3.133, -2.409, -1.082], [0.596, -2.281, 3.351], [-6.660, 6.227, 5.424]], "species": ["Er", "Er", "Mn", "Ge", "Ge", "Ge", "Ir", "Ir", "Ir", "Ir"], "frac_coords": [[0.500, 0.000, 0.245], [0.000, 0.500, 0.755], [0.500, 0.500, 0.500], [0.000, 0.000, 0.500], [0.500, 0.000, 0.868], [0.000, 0.500, 0.132], [0.500, 0.500, 0.000], [0.000, 0.000, 0.000], [0.500, 0.000, 0.640], [0.000, 0.500, 0.360]]}



{"formula": "ErMnGe2Ir", "functional": "PBE-GGA", "state": "relaxed", "e_form_mev_per_atom": -602, "crystal_system": "tetragonal", "dos_ef_per_ev_atom": 0.6286, "lattice": [[-1.417, 3.476, -1.472], [-2.510, 0.307, 3.141], [5.692, 0.780, 1.884]], "species": ["Er", "Mn", "Ge", "Ge", "Ir"], "frac_coords": [[0.000, 0.000, 0.000], [0.750, 0.250, 0.500], [0.616, 0.616, 0.231], [0.384, 0.384, 0.769], [0.250, 0.750, 0.500]]}



{"formula": "Er2NbGe3Ir4", "functional": "PBE-GGA", "state": "relaxed", "e_form_mev_per_atom": -739, "crystal_system": "tetragonal", "dos_ef_per_ev_atom": 0.5814, "lattice": [[4.121, 0.000, 0.000], [0.000, 4.121, 0.000], [0.000, 0.000, 10.808]], "species": ["Er", "Er", "Nb", "Ge", "Ge", "Ge", "Ir", "Ir", "Ir", "Ir"], "frac_coords": [[0.500, 0.000, 0.233], [0.000, 0.500, 0.767], [0.500, 0.500, 0.500], [0.000, 0.000, 0.500], [0.500, 0.000, 0.870], [0.000, 0.500, 0.130], [0.500, 0.500, 0.000], [0.000, 0.000, 0.000], [0.500, 0.000, 0.645], [0.000, 0.500, 0.355]]}



{"formula": "Nd2ErGe3Ir4", "functional": "PBE-GGA", "state": "relaxed", "e_form_mev_per_atom": -797, "crystal_system": "tetragonal", "dos_ef_per_ev_atom": 0.5434, "lattice": [[4.199, 0.000, 0.000], [0.000, 4.199, 0.000], [0.000, 0.000, 11.225]], "species": ["Nd", "Nd", "Er", "Ge", "Ge", "Ge", "Ir", "Ir", "Ir", "Ir"], "frac_coords": [[0.500, 0.000, 0.231], [0.000, 0.500, 0.769], [0.500, 0.500, 0.500], [0.000, 0.000, 0.500], [0.500, 0.000, 0.878], [0.000, 0.500, 0.122], [0.500, 0.500, 0.000], [0.000, 0.000, 0.000], [0.500, 0.000, 0.658], [0.000, 0.500, 0.342]]}



{"formula": "ErNi2Ge2Ir", "functional": "PBE-GGA", "state": "relaxed", "e_form_mev_per_atom": 17, "crystal_system": "tetragonal", "dos_ef_per_ev_atom": 0.4549, "lattice": [[4.680, 0.000, 0.000], [0.000, 4.680, 0.000], [0.000, 0.000, 5.272]], "species": ["Er", "Ni", "Ni", "Ge", "Ge", "Ir"], "frac_coords": [[0.000, 0.000, 0.500], [0.500, 0.500, 0.745], [0.500, 0.500, 0.255], [0.500, 0.000, 0.000], [0.000, 0.500, 0.000], [0.000, 0.000, 0.000]]}



{"formula": "Er2NiGe4Ir3", "functional": "PBE-GGA", "state": "relaxed", "e_form_mev_per_atom": -688, "crystal_system": "tetragonal", "dos_ef_per_ev_atom": 0.5933, "lattice": [[-2.518, -1.565, 2.866], [3.264, -1.312, 2.151], [0.239, 9.016, 5.134]], "species": ["Er", "Er", "Ni", "Ge", "Ge", "Ge", "Ge", "Ir", "Ir", "Ir"], "frac_coords": [[0.500, 0.000, 0.250], [0.000, 0.500, 0.750], [0.500, 0.500, 0.500], [0.500, 0.500, 0.000], [0.000, 0.000, 0.000], [0.500, 0.000, 0.631], [0.000, 0.500, 0.369], [0.000, 0.000, 0.500], [0.500, 0.000, 0.865], [0.000, 0.500, 0.135]]}



{"formula": "Er2GePIr6", "functional": "PBE-GGA", "state": "relaxed", "e_form_mev_per_atom": -475, "crystal_system": "orthorhombic", "dos_ef_per_ev_atom": 0.7020, "lattice": [[-0.391, 2.911, -4.557], [-6.936, -3.453, -1.611], [-4.108, 6.230, 4.332]], "species": ["Er", "Er", "Er", "Er", "Ge", "Ge", "P", "P", "Ir", "Ir", "Ir", "Ir", "Ir", "Ir", "Ir", "Ir", "Ir", "Ir", "Ir", "Ir"], "frac_coords": [[0.500, 0.718, 0.274], [0.000, 0.282, 0.774], [0.500, 0.718, 0.726], [0.000, 0.282, 0.226], [0.000, 0.727, 0.500], [0.500, 0.273, 0.000], [0.500, 0.239, 0.500], [0.000, 0.761, 0.000], [0.500, 0.099, 0.251], [0.500, 0.099, 0.749], [0.000, 0.901, 0.249], [0.000, 0.901, 0.751], [0.245, 0.999, 0.500], [0.755, 0.999, 0.500], [0.242, 0.466, 0.500], [0.758, 0.466, 0.500], [0.742, 0.534, 0.000], [0.258, 0.534, 0.000], [0.255, 0.001, 0.000], [0.745, 0.001, 0.000]]}



{"formula": "Pm2ErGe4Ir3", "functional": "PBE-GGA", "state": "relaxed", "e_form_mev_per_atom": -747, "crystal_system": "tetragonal", "dos_ef_per_ev_atom": 0.4569, "lattice": [[-2.876, 3.074, 0.690], [-3.088, -2.935, 0.205], [1.616, -0.937, 10.909]], "species": ["Pm", "Pm", "Er", "Ge", "Ge", "Ge", "Ge", "Ir", "Ir", "Ir"], "frac_coords": [[0.500, 0.000, 0.230], [0.000, 0.500, 0.770], [0.500, 0.500, 0.500], [0.500, 0.500, 0.000], [0.000, 0.000, 0.000], [0.500, 0.000, 0.663], [0.000, 0.500, 0.337], [0.000, 0.000, 0.500], [0.500, 0.000, 0.883], [0.000, 0.500, 0.117]]}



{"formula": "Pm2ErGe3Ir4", "functional": "PBE-GGA", "state": "relaxed", "e_form_mev_per_atom": -802, "crystal_system": "tetragonal", "dos_ef_per_ev_atom": 0.5195, "lattice": [[-3.610, -0.027, 2.118], [2.109, -0.427, 3.589], [0.518, 11.164, 1.025]], "species": ["Pm", "Pm", "Er", "Ge", "Ge", "Ge", "Ir", "Ir", "Ir", "Ir"], "frac_coords": [[0.500, 0.000, 0.230], [0.000, 0.500, 0.770], [0.500, 0.500, 0.500], [0.000, 0.000, 0.500], [0.500, 0.000, 0.877], [0.000, 0.500, 0.123], [0.500, 0.500, 0.000], [0.000, 0.000, 0.000], [0.500, 0.000, 0.658], [0.000, 0.500, 0.342]]}



{"formula": "PmErGeIr", "functional": "PBE-GGA", "state": "relaxed", "de_polymorph_mev_per_atom": 184.9, "e_form_mev_per_atom": -638, "crystal_system": "cubic", "dos_ef_per_ev_atom": 0.7127, "lattice": [[5.007, 0.000, 0.000], [2.503, 4.336, 0.000], [2.503, 1.445, 4.088]], "species": ["Ge", "Ir", "Pm", "Er"], "frac_coords": [[0.250, 0.250, 0.250], [0.750, 0.750, 0.750], [0.000, 0.000, 0.000], [0.500, 0.500, 0.500]]}



{"formula": "PmErGeIr", "functional": "PBE-GGA", "state": "relaxed", "de_polymorph_mev_per_atom": 0.0, "e_form_mev_per_atom": -823, "crystal_system": "orthorhombic", "dos_ef_per_ev_atom": 0.5999, "lattice": [[4.156, 0.000, 0.000], [0.000, 4.094, 0.000], [-2.078, 0.000, 5.404]], "species": ["Pm", "Er", "Ge", "Ir"], "frac_coords": [[0.146, 0.000, 0.292], [0.865, 0.500, 0.730], [0.570, 0.500, 0.140], [0.419, 0.000, 0.839]]}



| no. | calculated volume (Å³ per atom) |
| --- | --- |
| 1 | 18.2 |
| 2 | 17.8 |
| 3 | 17.3 |
| 4 | 18.4 |
| 5 | 19.8 |
| 6 | 19.2 |
| 7 | 17.6 |
| 8 | 18.5 |
| 9 | 20.1 |
| 10 | 19.7 |
| 11 | 22.2 |
| 12 | 23.0 |